# 1
GGA-PBE Nb2PtSe2S4, relaxed; size of the total moment = 0.0 μB/cell; SG = C2/m (12); V = 22.12 Å³/atom; final energy = -56.79 eV/cell
1.0
6.571 -1.658 0.000
6.571 1.658 0.000
-5.134 0.000 9.137
Nb S Pt Se
2 4 1 2
direct
0.678 0.678 0.294
0.322 0.322 0.706
0.796 0.796 0.865
0.672 0.672 0.540
0.328 0.328 0.460
0.204 0.204 0.135
0.000 0.000 0.000
0.005 0.005 0.239
0.995 0.995 0.761

---

# 2
GGA-PBE ScInCoW, relaxed; size of the total moment = 3.0 μB/cell; SG = F-43m (216); V = 17.02 Å³/atom; final energy = -27.70 eV/cell
1.0
-0.607 0.710 4.488
0.138 4.260 1.686
-3.842 1.995 1.506
In W Sc Co
1 1 1 1
direct
0.000 0.000 0.000
0.500 0.500 0.500
0.250 0.250 0.250
0.750 0.750 0.750

---

# 3
GGA-PBE LiLaPt, relaxed; size of the total moment = 0.0 μB/cell; SG = P4/nmm (129); V = 22.17 Å³/atom; final energy = -30.84 eV/cell
1.0
4.120 0.000 0.000
0.000 4.120 0.000
0.000 0.000 7.835
Pt Li La
2 2 2
direct
0.000 0.500 0.759
0.500 0.000 0.241
0.000 0.000 0.500
0.500 0.500 0.500
0.500 0.000 0.831
0.000 0.500 0.169

---

# 4
GGA-PBE Tl2CdO4, relaxed; SG = Fd-3m (227); V = 15.44 Å³/atom; final energy = -61.93 eV/cell
1.0
2.231 3.049 -5.577
3.615 -4.939 2.814
-5.808 -1.425 -3.101
O Tl Cd
8 4 2
direct
0.154 0.769 0.385
0.615 0.231 0.385
0.615 0.769 0.385
0.135 0.269 0.404
0.135 0.269 0.865
0.596 0.731 0.865
0.135 0.731 0.865
0.615 0.231 0.846
0.375 0.750 0.125
0.375 0.750 0.625
0.375 0.250 0.625
0.875 0.250 0.625
0.750 0.500 0.250
0.000 0.000 0.000

---

# 5
GGA-PBE ZrB, relaxed; size of the total moment = 0.0 μB/cell; SG = P4/mmm (123); V = 13.79 Å³/atom; final energy = -30.14 eV/cell
1.0
-1.270 -4.234 -0.841
1.065 -0.792 2.379
-3.942 0.780 2.025
Zr B
2 2
direct
0.916 0.000 0.000
0.417 0.000 0.500
0.917 0.500 0.500
0.416 0.500 0.000

---

# 6
GGA-PBE Mo4AuN3, relaxed; size of the total moment = 0.0 μB/cell; SG = P6_3/mmc (194); V = 12.45 Å³/atom; final energy = -143.65 eV/cell
1.0
-2.386 0.945 1.961
0.720 -3.137 -0.272
14.386 1.862 16.604
Mo Au N
8 2 6
direct
0.000 0.000 0.148
0.667 0.333 0.558
0.000 0.000 0.852
0.333 0.667 0.058
0.333 0.667 0.442
0.667 0.333 0.942
0.000 0.000 0.648
0.000 0.000 0.352
0.667 0.333 0.750
0.333 0.667 0.250
0.333 0.667 0.616
0.333 0.667 0.884
0.667 0.333 0.116
0.000 0.000 0.500
0.000 0.000 0.000
0.667 0.333 0.384

---

# 7
GGA-PBE Gd2DyAl7Ag2, relaxed; size of the total moment = 0.0 μB/cell; SG = R-3m (166); V = 19.66 Å³/atom; final energy = -51.25 eV/cell
1.0
-6.355 3.823 5.722
-5.721 -1.484 7.267
-1.999 2.337 8.848
Ag Gd Al Dy
2 2 7 1
direct
0.664 0.664 0.664
0.336 0.336 0.336
0.858 0.858 0.858
0.142 0.142 0.142
0.500 0.500 0.500
0.076 0.587 0.587
0.924 0.413 0.413
0.587 0.587 0.076
0.413 0.413 0.924
0.413 0.924 0.413
0.587 0.076 0.587
0.000 0.000 0.000

---

# 8
GGA-PBE HoHfZnCo2, relaxed; size of the total moment = 0.0 μB/cell; DFT formation energy = -311.7 meV/atom; SG = Imm2 (44); V = 16.58 Å³/atom; final energy = -31.57 eV/cell
1.0
-2.010 2.672 3.859
2.010 -2.672 3.859
2.010 2.672 -3.859
Hf Co Zn Ho
1 2 1 1
direct
0.708 0.208 0.500
0.719 0.504 0.215
0.289 0.504 0.785
0.993 0.993 0.000
0.291 0.791 0.500

---

# 9
GGA-PBE HfGaHg, relaxed; size of the total moment = 0.0 μB/cell; SG = F-43m (216); V = 21.41 Å³/atom; final energy = -12.88 eV/cell
1.0
-2.447 -3.629 -1.024
-3.726 -0.931 2.336
-4.035 0.479 -1.921
Ga Hf Hg
1 1 1
direct
0.000 0.000 0.000
0.250 0.250 0.250
0.750 0.750 0.750

---

# 10
GGA-PBE Li4InGaHg2, relaxed; SG = P-4m2 (115); V = 17.76 Å³/atom; final energy = -16.63 eV/cell
1.0
4.631 0.000 0.000
0.000 4.631 0.000
0.000 0.000 6.626
Hg In Li Ga
2 1 4 1
direct
0.500 0.000 0.733
0.000 0.500 0.267
0.500 0.500 0.000
0.000 0.500 0.734
0.000 0.000 0.000
0.500 0.000 0.266
0.500 0.500 0.500
0.000 0.000 0.500

---

# 11
GGA-PBE HoSnPt, relaxed; size of the total moment = 0.0 μB/cell; SG = P-62m (189); V = 21.62 Å³/atom; final energy = -53.77 eV/cell
1.0
7.472 0.000 0.000
-3.736 6.471 0.000
0.000 0.000 4.024
Ho Sn Pt
3 3 3
direct
0.594 0.000 0.000
0.000 0.594 0.000
0.406 0.406 0.000
0.741 0.741 0.500
0.000 0.259 0.500
0.259 0.000 0.500
0.333 0.667 0.500
0.667 0.333 0.500
0.000 0.000 0.000

---

# 12
GGA-PBE DyLuCo2C2, relaxed; size of the total moment = 0.6 μB/cell; SG = P-4m2 (115); V = 14.62 Å³/atom; final energy = -43.84 eV/cell
1.0
-1.387 -0.595 3.271
1.865 -3.074 0.232
5.165 3.344 2.799
Co Lu C Dy
2 1 2 1
direct
0.500 0.500 0.737
0.500 0.500 0.263
0.000 0.000 0.500
0.000 0.500 0.257
0.500 0.000 0.743
0.000 0.000 0.000